(1)
A geometry-optimized Ca2PtRh structure, computed with PBE.

Cell and atoms, written as POSCAR:
```
Ca2PtRh
1.0
-0.2613 2.5741 -2.7790
-2.7379 -2.0534 -1.6445
-4.2465 3.0670 3.2402
Ca Rh Pt
2 1 1
Cartesian
-4.0008 2.8896 3.0527
-2.8323 1.2229 -1.1949
-4.7396 2.6004 0.2604
-2.0427 1.4754 1.5587
```

Computed properties:
Its formation energy is -255 meV per atom. Its space-group type is No. 99. The crystal system is tetragonal. The electronic total energy comes out at -4.604 eV/atom.

(2)
A geometry-optimized CaPtRh2 structure, computed with PBE.

Cell and atoms, written as POSCAR:
```
CaPtRh2
1.0
4.0650 0.0000 0.0000
0.0000 4.0650 0.0000
2.0325 2.0325 9.4126
Pt Rh Ca
2 4 2
Cartesian
0.0000 0.0000 0.0000
4.0650 2.0325 4.7063
3.3441 1.0162 2.3531
0.7209 3.0487 2.3531
3.0487 2.7533 7.0594
5.0812 5.3766 7.0594
2.0325 4.0650 4.7063
2.0325 2.0325 0.0000
```

Computed properties:
Its formation energy is 10 meV per atom. Its space-group type is No. 122. The crystal system is tetragonal. The electronic total energy comes out at -5.676 eV/atom.

(3)
A geometry-optimized Ca2PtRh structure, computed with PBE.

Cell and atoms, written as POSCAR:
```
Ca2PtRh
1.0
7.6106 0.0000 0.0000
0.0000 7.6106 0.0000
3.8053 3.8053 2.9971
Rh Pt Ca
2 2 4
Cartesian
3.8053 3.8053 0.0000
3.8053 7.6106 1.4986
7.6106 3.8053 1.4986
0.0000 0.0000 0.0000
1.9622 5.7080 0.7493
5.7080 5.7675 2.2479
5.6484 1.9027 0.7493
9.5133 9.4537 2.2479
```

Computed properties:
Its formation energy is -271 meV per atom. Its space-group type is No. 122. The crystal system is tetragonal. The electronic total energy comes out at -4.619 eV/atom.

(4)
A geometry-optimized Ca2PtRh3 structure, computed with PBE.

Cell and atoms, written as POSCAR:
```
Ca2PtRh3
1.0
-0.7090 -1.3976 -5.1283
-3.6879 -1.3038 3.6682
-0.3887 5.1734 1.4482
Ca Rh Pt
2 3 1
Cartesian
-2.8172 3.3526 2.2806
-1.9683 -0.8807 -2.2926
-2.3928 1.2360 -0.0060
-0.1943 2.5867 0.7241
-0.5488 1.8879 -1.8401
0.0000 0.0000 0.0000
```

Computed properties:
Its formation energy is -588 meV per atom. Its space-group type is No. 166. The crystal system is trigonal. The electronic total energy comes out at -5.937 eV/atom.

(5)
A geometry-optimized CaPtRh4 structure, computed with PBE.

Cell and atoms, written as POSCAR:
```
CaPtRh4
1.0
0.0000 3.6858 3.6858
3.6858 0.0000 3.6858
3.6858 3.6858 0.0000
Ca Pt Rh
1 1 4
Cartesian
5.5287 5.5287 5.5287
0.0000 0.0000 0.0000
4.6110 2.7605 4.6110
2.7605 2.7605 2.7605
4.6110 4.6110 2.7605
2.7605 4.6110 4.6110
```

Computed properties:
Its formation energy is -11 meV per atom. Its space-group type is No. 216. The crystal system is cubic. The electronic total energy comes out at -6.252 eV/atom.

(6)
A geometry-optimized CaPtRh2 structure, computed with PBE.

Cell and atoms, written as POSCAR:
```
CaPtRh2
1.0
-4.0693 -2.8899 -0.2761
-3.3609 -2.7329 2.4944
-3.5411 3.4068 0.7124
Rh Pt Ca
2 1 1
Cartesian
-7.4919 -5.5489 2.2300
-2.6894 -0.7300 0.7290
-8.1924 -1.5949 2.1851
-5.5146 -1.0739 1.4709
```

Computed properties:
Its formation energy is -185 meV per atom. Its space-group type is No. 8. The crystal system is monoclinic. The electronic total energy comes out at -5.871 eV/atom.

(7)
A geometry-optimized CaPtRh3 structure, computed with PBE.

Cell and atoms, written as POSCAR:
```
CaPtRh3
1.0
-1.5356 -2.3534 3.9458
4.5944 -0.7939 1.3145
0.0080 4.1590 2.4837
Ca Pt Rh
1 1 3
Cartesian
1.5334 0.5059 3.8720
0.0000 0.0000 0.0000
2.2972 -0.3969 0.6573
-0.7678 -1.1767 1.9729
0.0040 2.0795 1.2418
```

Computed properties:
Its formation energy is 685 meV per atom. Its space-group type is No. 221. The crystal system is cubic. The electronic total energy comes out at -5.334 eV/atom.

(8)
A geometry-optimized CaPtRh2 structure, computed with PBE.

Cell and atoms, written as POSCAR:
```
CaPtRh2
1.0
4.6852 0.0000 0.0000
0.0000 2.8473 -0.2645
0.0000 0.4606 4.9376
Rh Pt Ca
2 1 1
Cartesian
0.0000 2.5181 0.0547
2.3426 1.1503 0.7952
2.3426 2.8179 3.2699
0.0000 1.3227 2.6253
```

Computed properties:
Its formation energy is -208 meV per atom. Its space-group type is No. 25. The crystal system is orthorhombic. The electronic total energy comes out at -5.894 eV/atom.

(9)
A geometry-optimized CaPtRh2 structure, computed with PBE.

Cell and atoms, written as POSCAR:
```
CaPtRh2
1.0
-5.5158 0.5139 1.4577
-2.3516 -3.2526 4.0870
3.8060 3.9350 -1.6863
Rh Pt Ca
2 1 1
Cartesian
-0.1736 -0.0604 0.1223
-3.7601 -1.3089 2.6500
-1.2397 -0.3435 2.5865
-2.8218 1.5397 1.2718
```

Computed properties:
Its formation energy is -135 meV per atom. Its space-group type is No. 71. The crystal system is orthorhombic. The electronic total energy comes out at -5.821 eV/atom.

(10)
A geometry-optimized CaPtRh2 structure, computed with PBE.

Cell and atoms, written as POSCAR:
```
CaPtRh2
1.0
-0.9606 4.4436 1.9107
-2.2885 4.3218 -0.6354
-4.3912 -1.0490 2.3404
Ca Pt Rh
1 1 2
Cartesian
-1.9101 1.9291 0.9039
-5.7302 5.7873 2.7117
-4.2659 -0.9480 2.2702
-3.9453 3.7572 1.8780
```

Computed properties:
Its formation energy is -179 meV per atom. Its space-group type is No. 12. The crystal system is monoclinic. The electronic total energy comes out at -5.865 eV/atom.

(11)
A geometry-optimized Ca2PtRhS structure, computed with PBE.

Cell and atoms, written as POSCAR:
```
Ca2PtRhS
1.0
5.4691 0.0000 0.0000
0.0000 4.6976 0.0000
0.0000 0.0000 5.4691
S Ca Rh Pt
1 2 1 1
Cartesian
2.7345 2.3488 2.7345
2.7345 0.0000 0.0000
0.0000 0.0000 2.7345
0.0000 2.3488 0.0000
0.0000 0.0000 0.0000
```

Computed properties:
The formation energy from raw total energies comes out at -0.1969 eV/atom. Its space-group type is No. 123. The crystal system is tetragonal. The electronic total energy comes out at -4.502 eV/atom.

(12)
A geometry-optimized Ca2Sb4Pt3Rh structure, computed with PBE.

Cell and atoms, written as POSCAR:
```
Ca2Sb4Pt3Rh
1.0
4.6200 0.0000 0.0000
0.0000 4.6200 0.0000
0.0000 0.0000 10.7334
Ca Sb Pt Rh
2 4 3 1
Cartesian
2.3100 0.0000 2.8636
0.0000 2.3100 7.8697
0.0000 0.0000 0.0000
0.0000 2.3100 4.0276
2.3100 0.0000 6.7057
2.3100 2.3100 0.0000
0.0000 0.0000 5.3667
0.0000 2.3100 1.4274
2.3100 0.0000 9.3059
2.3100 2.3100 5.3667
```

Computed properties:
The formation energy from raw total energies comes out at -0.6978 eV/atom. Its space-group type is No. 115. The crystal system is tetragonal. The electronic total energy comes out at -5.294 eV/atom.

(13)
A geometry-optimized CaSbPtRh2 structure, computed with PBE.

Cell and atoms, written as POSCAR:
```
CaSbPtRh2
1.0
-1.5641 2.0387 4.0317
4.3053 -2.3057 2.8361
2.6698 3.8589 -0.9156
Sb Ca Pt Rh
1 1 1 2
Cartesian
0.0000 0.0000 0.0000
2.1526 -1.1528 1.4180
2.7055 1.7960 2.9761
-0.7820 1.0194 2.0159
1.3349 1.9295 -0.4578
```

Computed properties:
The formation energy from raw total energies comes out at 0.7106 eV/atom. Its space-group type is No. 123. The crystal system is tetragonal. The electronic total energy comes out at -4.663 eV/atom.

(14)
A geometry-optimized Ca2Si3Pt4Rh structure, computed with PBE.

Cell and atoms, written as POSCAR:
```
Ca2Si3Pt4Rh
1.0
-0.6807 3.9140 1.1200
-2.4677 0.5065 -3.2698
-8.2421 -3.0769 5.7437
Pt Ca Si Rh
4 2 3 1
Cartesian
-1.5742 2.2103 -1.0749
0.0000 0.0000 0.0000
-5.6968 -0.0426 4.2928
-4.1195 -0.8240 0.3761
-7.3824 -2.0421 2.6499
-2.4339 1.1755 2.0190
-4.1210 -1.5385 2.8719
-7.5153 -0.7215 5.5600
-2.3010 -0.1451 -0.8912
-5.6952 0.6718 1.7970
```

Computed properties:
The formation energy from raw total energies comes out at -0.8270 eV/atom. Its space-group type is No. 115. The crystal system is tetragonal. The electronic total energy comes out at -6.006 eV/atom.

(15)
A geometry-optimized CaSi2PtRh structure, computed with PBE.

Cell and atoms, written as POSCAR:
```
CaSi2PtRh
1.0
-0.2388 -1.1002 -3.9347
3.7594 -1.6024 0.2199
-3.7523 -3.1333 3.2323
Ca Rh Si Pt
1 1 2 1
Cartesian
0.0000 0.0000 0.0000
-1.1154 -2.7924 -1.2799
-1.5143 -3.4092 1.0452
1.2826 -2.4268 -1.5277
0.8837 -3.0435 0.7974
```

Computed properties:
The formation energy from raw total energies comes out at -0.9527 eV/atom. Its space-group type is No. 119. The crystal system is tetragonal. The electronic total energy comes out at -6.201 eV/atom.

(16)
A geometry-optimized CaSmPtRh structure, computed with PBE.

Cell and atoms, written as POSCAR:
```
CaSmPtRh
1.0
3.5727 0.0000 0.0000
0.0000 3.5727 0.0000
0.0000 0.0000 6.7154
Sm Rh Pt Ca
1 1 1 1
Cartesian
0.0000 0.0000 2.4212
1.7863 1.7863 3.9796
1.7863 1.7863 0.7878
0.0000 0.0000 5.7586
```

Computed properties:
Its formation energy is -794 meV per atom. Its space-group type is No. 99. The crystal system is tetragonal. The electronic total energy comes out at -5.822 eV/atom.

(17)
A geometry-optimized CaSmPtRh structure, computed with PBE.

Cell and atoms, written as POSCAR:
```
CaSmPtRh
1.0
-2.9085 -3.8268 1.1376
1.1691 -4.5393 -1.5574
1.5435 -3.3995 3.2341
Ca Sm Rh Pt
1 1 1 1
Cartesian
0.0000 0.0000 0.0000
-0.0980 -5.8828 1.4071
-0.0490 -2.9414 0.7036
-0.1470 -8.8242 2.1107
```

Computed properties:
Its formation energy is -780 meV per atom. Its space-group type is No. 216. The crystal system is cubic. The electronic total energy comes out at -5.808 eV/atom.

(18)
A geometry-optimized Ca2Sn4PtRh3 structure, computed with PBE.

Cell and atoms, written as POSCAR:
```
Ca2Sn4PtRh3
1.0
4.5448 0.0000 0.0000
0.0000 4.5448 0.0000
0.0000 0.0000 10.7020
Pt Rh Ca Sn
1 3 2 4
Cartesian
2.2724 2.2724 5.3510
0.0000 2.2724 1.3804
2.2724 0.0000 9.3216
0.0000 0.0000 5.3510
0.0000 2.2724 7.9452
2.2724 0.0000 2.7568
0.0000 2.2724 3.9630
2.2724 2.2724 0.0000
2.2724 0.0000 6.7390
0.0000 0.0000 0.0000
```

Computed properties:
Its formation energy is -631 meV per atom. Its space-group type is No. 115. The crystal system is tetragonal. The electronic total energy comes out at -5.442 eV/atom.

(19)
A geometry-optimized Sr2Ca6PtRh structure, computed with PBE.

Cell and atoms, written as POSCAR:
```
Sr2Ca6PtRh
1.0
-5.8138 0.5385 5.5393
4.6210 -3.9974 5.2385
1.5969 3.1953 7.2121
Sr Ca Pt Rh
2 6 1 1
Cartesian
-2.4067 1.0022 9.0702
2.8107 -1.2658 8.9198
1.9903 -2.8538 5.3143
0.7048 0.6084 15.2726
0.4909 0.7121 6.2928
-3.1831 -0.6050 5.4635
-0.0869 -0.9757 11.6971
-0.3007 -0.8721 2.7173
0.0000 0.0000 0.0000
-0.5964 -1.7294 5.3889
```

Computed properties:
Its formation energy is -340 meV per atom. Its space-group type is No. 225. The crystal system is cubic. The electronic total energy comes out at -3.217 eV/atom.

(20)
A geometry-optimized CaTcPt2Rh structure, computed with PBE.

Cell and atoms, written as POSCAR:
```
CaTcPt2Rh
1.0
4.8039 0.0000 0.0000
0.0000 4.7908 0.0000
0.0000 0.0000 4.8039
Pt Rh Ca Tc
2 1 1 1
Cartesian
0.0000 0.0000 2.4020
2.4020 0.0000 0.0000
2.4020 2.3954 2.4020
0.0000 0.0000 0.0000
0.0000 2.3954 0.0000
```

Computed properties:
Its formation energy is 1946 meV per atom. Its space-group type is No. 123. The crystal system is tetragonal. The electronic total energy comes out at -4.414 eV/atom.

(21)
A geometry-optimized Ca2Zn5PtRh2 structure, computed with PBE.

Cell and atoms, written as POSCAR:
```
Ca2Zn5PtRh2
1.0
-2.2553 -2.6942 1.0556
3.5398 0.6181 9.1406
-6.8904 6.6377 2.2196
Ca Zn Rh Pt
4 10 4 2
Cartesian
-4.5374 5.6841 4.8130
-1.6302 2.2713 2.3142
-1.7205 4.9844 9.0460
1.1868 1.5717 6.5472
-4.5729 1.9718 1.6376
-1.7164 2.0094 7.8370
-6.4835 4.0492 2.8576
-3.9213 3.5949 7.1727
-4.7545 5.3994 9.9978
-3.8896 2.5521 4.5788
0.6422 -1.0381 5.0981
0.8775 0.5124 9.5582
-1.6847 0.9667 5.2431
-0.8514 -0.8378 2.4179
0.5200 3.0156 8.8079
0.4455 1.0734 3.6915
-3.7961 6.1824 7.6687
-3.8707 4.2402 2.5523
0.0000 0.0000 0.0000
-1.6753 3.6279 5.6801
```

Computed properties:
Its formation energy is -417 meV per atom. Its space-group type is No. 127. The crystal system is tetragonal. The electronic total energy comes out at -3.528 eV/atom.

(22)
A geometry-optimized Ca2Zn2Pt5Rh structure, computed with PBE.

Cell and atoms, written as POSCAR:
```
Ca2Zn2Pt5Rh
1.0
3.8804 0.0000 0.0000
0.0000 9.4641 0.0000
0.0000 0.0000 9.4641
Pt Zn Rh Ca
10 4 2 4
Cartesian
1.9402 4.1289 2.7972
1.9402 4.7320 0.0000
1.9402 7.5292 8.8609
1.9402 1.9348 0.6032
1.9402 8.8609 1.9348
1.9402 0.6032 7.5292
1.9402 5.3352 6.6669
1.9402 6.6669 4.1289
1.9402 2.7972 5.3352
1.9402 0.0000 4.7320
0.0000 3.5746 1.1575
0.0000 5.8895 8.3066
0.0000 8.3066 3.5746
0.0000 1.1575 5.8895
0.0000 4.7320 4.7320
0.0000 0.0000 0.0000
0.0000 6.4147 1.6827
0.0000 3.0493 7.7814
0.0000 1.6827 3.0493
0.0000 7.7814 6.4147
```

Computed properties:
Its formation energy is -552 meV per atom. Its space-group type is No. 127. The crystal system is tetragonal. The electronic total energy comes out at -4.962 eV/atom.

(23)
A geometry-optimized Ca2RuPt structure, computed with PBE.

Cell and atoms, written as POSCAR:
```
Ca2RuPt
1.0
-1.8705 0.9811 -2.0269
-1.3853 -4.5616 -0.9296
-4.1764 0.4396 4.0669
Ca Pt Ru
2 1 1
Cartesian
-2.8992 -1.6564 -0.2403
-3.9542 0.4162 3.8506
-1.9409 0.2043 1.8900
-4.9025 -1.4456 1.7105
```

Computed properties:
Its formation energy is 76 meV per atom. Its space-group type is No. 25. The crystal system is orthorhombic. The electronic total energy comes out at -4.754 eV/atom.

(24)
A geometry-optimized CaRu2Pt structure, computed with PBE.

Cell and atoms, written as POSCAR:
```
CaRu2Pt
1.0
9.5639 0.0134 0.0078
9.1352 2.8315 0.0078
9.1352 1.3898 2.4669
Ru Ca Pt
2 1 1
Cartesian
13.7635 2.0940 1.2276
0.1536 0.0234 0.0137
6.9586 1.0587 0.6207
20.8757 3.1760 1.8620
```

Computed properties:
Its formation energy is 506 meV per atom. Its space-group type is No. 166. The crystal system is trigonal. The electronic total energy comes out at -6.142 eV/atom.

(25)
A geometry-optimized CaRu2Pt structure, computed with PBE.

Cell and atoms, written as POSCAR:
```
CaRu2Pt
1.0
2.8737 0.0000 0.0000
0.0000 4.7494 0.0000
0.0000 0.0000 4.8858
Ru Pt Ca
2 1 1
Cartesian
1.4368 2.3747 0.0000
0.0000 0.0000 0.0000
0.0000 2.3747 2.4429
1.4368 0.0000 2.4429
```

Computed properties:
Its formation energy is 210 meV per atom. Its space-group type is No. 47. The crystal system is orthorhombic. The electronic total energy comes out at -6.439 eV/atom.

(26)
A geometry-optimized CaRuPt structure, computed with PBE.

Cell and atoms, written as POSCAR:
```
CaRuPt
1.0
-1.1935 -4.7517 -2.7280
3.5878 -4.0522 -1.4672
-2.3809 3.2021 3.9399
Ru Pt Ca
1 1 1
Cartesian
1.7040 -6.2655 -2.9857
0.6948 -2.5549 -1.2175
2.3898 -8.7873 -4.1874
```

Computed properties:
Its formation energy is -42 meV per atom. Its space-group type is No. 44. The crystal system is orthorhombic. The electronic total energy comes out at -5.815 eV/atom.